[1]
Material: Zn2TcPbW
Method: DFT, PBE
State: optimized geometry

Output
Density of states at the Fermi level, states/eV per cell: 4.3
Crystal system: tetragonal
Formation energy, eV per atom: 1.055
Symmetry: P4/mmm, No. 123

Cell lengths 5.104, 4.742, 5.104 Å; angles 90.00, 90.00, 90.00 degrees
Site moments in Bohr magnetons follow the coordinates.
Sites, in units of the cell vectors:
Zn: 0.500 0.000 0.000  0.00
Tc: 0.000 0.000 0.000  -0.20
W: 0.000 0.500 0.000  1.10
Zn: 0.000 0.000 0.500  0.01
Pb: 0.500 0.500 0.500  -0.01

[2]
Material: Y4TcPb
Method: DFT, PBE
State: optimized geometry

Output
Density of states at the Fermi level, states/eV per cell: 11.8
E above lowest polymorph, meV per atom: 0
Crystal system: monoclinic
Formation energy, eV per atom: -0.284
Symmetry: C2/c, No. 15

Cell lengths 6.223, 8.124, 8.124 Å; angles 112.66, 103.04, 103.04 degrees
Sites, in units of the cell vectors:
Y: 0.435 0.722 0.058
Y: 0.065 0.942 0.278
Pb: 0.750 0.629 0.371
Y: 0.565 0.278 0.942
Y: 0.659 0.206 0.349
Y: 0.341 0.794 0.651
Y: 0.935 0.058 0.722
Y: 0.159 0.349 0.206
Pb: 0.250 0.371 0.629
Tc: 0.750 0.000 0.000
Y: 0.841 0.651 0.794
Tc: 0.250 0.000 0.000

[3]
Material: YTcPb2
Method: DFT, PBE
State: optimized geometry

Output
Density of states at the Fermi level, states/eV per cell: 3.5
E above lowest polymorph, meV per atom: 62
Crystal system: orthorhombic
Formation energy, eV per atom: 0.180
Symmetry: Imm2, No. 44

Cell lengths 6.859, 6.859, 4.686 Å; angles 70.02, 70.02, 28.94 degrees
Sites, in units of the cell vectors:
Tc: 0.499 0.499 0.502
Pb: 0.806 0.806 0.694
Pb: 0.004 0.004 0.996
Y: 0.191 0.191 0.308

[4]
Material: YTcPb2
Method: DFT, PBE
State: optimized geometry

Output
Density of states at the Fermi level, states/eV per cell: 2.8
E above lowest polymorph, meV per atom: 152
Crystal system: trigonal
Formation energy, eV per atom: 0.269
Symmetry: R-3m, No. 166

Cell lengths 9.591, 9.591, 9.591 Å; angles 20.76, 20.76, 20.76 degrees
Sites, in units of the cell vectors:
Pb: 0.988 0.988 0.988
Tc: 0.250 0.250 0.250
Y: 0.750 0.750 0.750
Pb: 0.512 0.512 0.512

Q: Which final energy values were calculated for the entries above? A: -4.860 -6.939 -5.882 -5.792, in eV/atom.